Record 1
First-principles (GGA-PBE) data for a geometry-optimized Er5Tm2Sc3 structure, as listed in Alexandria via LeMat-Bulk.

a b c (Å): 10.540 14.037 9.186
angles (deg): 90.00 118.02 90.00
Space group C2/c (No. 15)
Unique sites:
1 Er 0.000 0.003 0.250 x4
2 Er 0.000 0.248 0.750 x4
3 Er 0.000 0.464 0.750 x4
4 Er 0.198 0.377 0.173 x8
5 Tm 0.174 0.370 0.544 x8
6 Sc 0.000 0.224 0.250 x4
7 Sc 0.170 0.132 0.081 x8

Calculated values
Mass density   7.2 g/cm3
Crystal system   monoclinic
Total DFT energy (no corrections)   -4.862 eV per atom
E_form   206 kJ/mol of formula units

Record 2
First-principles (GGA-PBE) data for a geometry-optimized Y5Os structure, as listed in Alexandria via LeMat-Bulk.

a b c (Å): 6.0504 6.0504 5.0791
angles (deg): 90.00 90.00 120.00
Space group P-62m (No. 189)
Unique sites:
1 Y 0.0000 0.7032 0.0000 x3
2 Y 0.3333 0.6667 0.5000 x2
3 Os 0.0000 0.0000 0.5000 x1

Calculated values
Distance to the lowest polymorph of the same formula   0.2060 eV per atom
Mass density   6.5 g/cm3
Crystal system   hexagonal
Total DFT energy (no corrections)   -7.128 eV per atom
E_form   75 kJ/mol of formula units

Record 3
First-principles (GGA-PBE) data for a geometry-optimized YTmTlCd structure, as listed in Alexandria via LeMat-Bulk.

a b c (Å): 7.498 7.498 7.498
angles (deg): 90.00 90.00 90.00
Space group F-43m (No. 216)
Unique sites:
1 Y 0.000 0.000 0.000 x4
2 Tm 0.000 0.000 0.500 x4
3 Tl 0.250 0.250 0.750 x4
4 Cd 0.250 0.250 0.250 x4

Calculated values
Mass density   9.1 g/cm3
Crystal system   cubic
Total DFT energy (no corrections)   -3.893 eV per atom
E_form   -131 kJ/mol of formula units

Record 4
First-principles (GGA-PBE) data for a geometry-optimized LiNpAgCl6 structure, as listed in Alexandria via LeMat-Bulk.

a b c (Å): 6.6297 6.6297 12.2515
angles (deg): 90.00 90.00 120.00
Space group P-31c (No. 163)
Unique sites:
1 Li 0.3333 0.6667 0.2500 x2
2 Np 0.3333 0.6667 0.7500 x2
3 Ag 0.0000 0.0000 0.0000 x2
4 Cl 0.0015 0.3480 0.1303 x12

Calculated values
Raw formation energy   -1.408 eV per atom
Mass density   4.0 g/cm3
Crystal system   trigonal
Total DFT energy (no corrections)   -4.606 eV per atom

Record 5
First-principles (GGA-PBE) data for a geometry-optimized InNi4Pt structure, as listed in Alexandria via LeMat-Bulk.

a b c (Å): 6.799 6.799 6.799
angles (deg): 90.00 90.00 90.00
Space group F-43m (No. 216)
Unique sites:
1 In 0.000 0.000 0.000 x4
2 Ni 0.125 0.125 0.625 x16
3 Pt 0.250 0.250 0.250 x4

Calculated values
Mass density   11.5 g/cm3
Crystal system   cubic
Total DFT energy (no corrections)   -5.391 eV per atom
E_form   -42 kJ/mol of formula units

Record 6
First-principles (GGA-PBE) data for a geometry-optimized BaTe5 structure, as listed in Alexandria via LeMat-Bulk.

a b c (Å): 4.522 4.522 10.954
angles (deg): 90.00 90.00 90.00
Space group P4/mmm (No. 123)
Unique sites:
1 Ba 0.000 0.000 0.000 x1
2 Te 0.000 0.000 0.376 x2
3 Te 0.500 0.500 0.131 x2
4 Te 0.500 0.500 0.500 x1

Calculated values
Raw formation energy   -0.315 eV per atom
Distance to the lowest polymorph of the same formula   0.1827 eV per atom
Mass density   5.7 g/cm3
Crystal system   tetragonal
Total DFT energy (no corrections)   -3.253 eV per atom